Entry 1:
InRu2Br | Alexandria | PBEsol | optimized geometry; space group = F-43m, No. 216; total magnetic moment = 2.95 μB per cell; formation energy without anion corrections = 0.966 eV per atom; uncorrected energy = -21.3 eV per cell
1.0
-4.577 -0.288 -0.412
-1.874 -3.305 -2.601
-2.276 -3.477 1.983
Ru In Br
2 1 1
Direct
0.000 0.000 0.000
0.750 0.750 0.750
0.250 0.250 0.250
0.500 0.500 0.500

Entry 2:
KZrCo | Alexandria | PBEsol | optimized geometry; space group = P3m1, No. 156; total magnetic moment = 0.77 μB per cell; DFT formation energy = 1.205 eV/atom; uncorrected energy = -14.3 eV per cell
1.0
2.767 0.000 0.000
0.000 4.940 0.000
0.000 -2.470 4.278
K Co Zr
1 1 1
Direct
0.649 0.333 0.667
0.009 0.000 0.000
0.342 0.667 0.333

Entry 3:
Li4MnO2F2 | Alexandria | PBEsol | optimized geometry; space group = Cmcm, No. 63; total magnetic moment = 10.00 μB per cell; formation energy without anion corrections = -2.108 eV per atom; uncorrected energy = -101.9 eV per cell
1.0
5.366 0.020 0.000
-0.788 5.308 0.000
0.000 0.000 6.512
Li F O Mn
8 4 4 2
Direct
0.165 0.835 0.000
0.892 0.577 0.250
0.577 0.892 0.250
0.835 0.165 0.000
0.423 0.108 0.750
0.835 0.165 0.500
0.165 0.835 0.500
0.108 0.423 0.750
0.200 0.200 0.972
0.800 0.800 0.472
0.800 0.800 0.028
0.200 0.200 0.528
0.249 0.692 0.250
0.692 0.249 0.250
0.751 0.308 0.750
0.308 0.751 0.750
0.617 0.617 0.750
0.383 0.383 0.250